No. 1
# HfMg2O4 | Alexandria | GGA-PBE | optimized geometry
data_HfMg2O4
_chemical_formula_sum 'Hf2 Mg4 O8'
_cell_length_a 11.119
_cell_length_b 3.320
_cell_length_c 5.167
_cell_angle_alpha 90.00
_cell_angle_beta 106.63
_cell_angle_gamma 90.00
_space_group_name_H-M_alt 'C 1 2/m 1'
_space_group_IT_number 12
loop_
_space_group_symop_operation_xyz
'x,y,z'
'-x,-y,-z'
'-x,y,-z'
'x,-y,z'
'x+1/2,y+1/2,z'
'-x+1/2,-y+1/2,-z'
'-x+1/2,y+1/2,-z'
'x+1/2,-y+1/2,z'
loop_
_atom_site_label
_atom_site_fract_x
_atom_site_fract_y
_atom_site_fract_z
_atom_site_occupancy
Hf1 0.000 0.000 0.000 1
Mg1 0.146 0.500 0.525 1
O1 0.053 0.500 0.797 1
O2 0.162 0.000 0.322 1
# Formation energy (no corrections), kJ/mol of formula units: -2037
# Total magnetization, μB/f.u.: 0.00

No. 2
# Li2SmInAu4 | Alexandria | GGA-PBE | optimized geometry
data_Li2SmInAu4
_chemical_formula_sum 'Li6 Sm3 In3 Au12'
_cell_length_a 4.5752
_cell_length_b 4.5752
_cell_length_c 26.5210
_cell_angle_alpha 90.00
_cell_angle_beta 90.00
_cell_angle_gamma 120.00
_space_group_name_H-M_alt 'R -3 m'
_space_group_IT_number 166
_space_group_name_Hall '-R 3 2"'
loop_
_atom_site_label
_atom_site_fract_x
_atom_site_fract_y
_atom_site_fract_z
_atom_site_occupancy
Li1 0.0000 0.0000 0.2392 1
Sm1 0.0000 0.0000 0.0000 1
In1 0.0000 0.0000 0.5000 1
Au1 0.0000 0.0000 0.1198 1
Au2 0.0000 0.0000 0.3927 1
# Formation energy from the elements, eV/f.u.: -4.4
# Total magnetization, μB/f.u.: 0.00

No. 3
# LaThSi2 | Alexandria | GGA-PBE | optimized geometry
data_LaThSi2
_chemical_formula_sum 'La2 Th2 Si4'
_cell_length_a 4.001
_cell_length_b 5.982
_cell_length_c 8.292
_cell_angle_alpha 90.00
_cell_angle_beta 90.00
_cell_angle_gamma 90.00
_space_group_name_H-M_alt 'P m c 21'
_space_group_IT_number 26
loop_
_space_group_symop_operation_xyz
'x,y,z'
'-x,-y,z+1/2'
'-x,y,z'
'x,-y,z+1/2'
loop_
_atom_site_label
_atom_site_fract_x
_atom_site_fract_y
_atom_site_fract_z
_atom_site_occupancy
La1 0.000 0.132 0.000 1
Th1 0.500 0.370 0.362 1
Si1 0.000 0.375 0.644 1
Si2 0.500 0.134 0.715 1
# E above lowest polymorph, kJ/mol of formula units: 0
# Formation energy (no corrections), kJ/mol of formula units: -269
# Total magnetization, μB/f.u.: 0.00

No. 4
# CeTh6Rh | Alexandria | GGA-PBE | optimized geometry
data_CeTh6Rh
_chemical_formula_sum 'Ce2 Th12 Rh2'
_cell_length_a 6.714
_cell_length_b 11.921
_cell_length_c 6.814
_cell_angle_alpha 90.00
_cell_angle_beta 116.17
_cell_angle_gamma 90.00
_space_group_name_H-M_alt 'C 1 2/m 1'
_space_group_IT_number 12
loop_
_space_group_symop_operation_xyz
'x,y,z'
'-x,-y,-z'
'-x,y,-z'
'x,-y,z'
'x+1/2,y+1/2,z'
'-x+1/2,-y+1/2,-z'
'-x+1/2,y+1/2,-z'
'x+1/2,-y+1/2,z'
loop_
_atom_site_label
_atom_site_fract_x
_atom_site_fract_y
_atom_site_fract_z
_atom_site_occupancy
Ce1 0.000 0.000 0.000 1
Th1 0.225 0.296 0.741 1
Th2 0.236 0.500 0.266 1
Rh1 0.000 0.500 0.500 1
# Formation energy from the elements, eV/f.u.: 0.8
# Total magnetization, μB/f.u.: 0.00

No. 5
# TaTeBr | Alexandria | GGA-PBE | optimized geometry
data_TaTeBr
_chemical_formula_sum 'Ta1 Te1 Br1'
_cell_length_a 3.4845
_cell_length_b 3.4845
_cell_length_c 7.7801
_cell_angle_alpha 90.00
_cell_angle_beta 90.00
_cell_angle_gamma 120.00
_space_group_name_H-M_alt 'P 3 m 1'
_space_group_IT_number 156
loop_
_space_group_symop_operation_xyz
'x,y,z'
'-y,x-y,z'
'-x+y,-x,z'
'-y,-x,z'
'-x+y,y,z'
'x,x-y,z'
loop_
_atom_site_label
_atom_site_fract_x
_atom_site_fract_y
_atom_site_fract_z
_atom_site_occupancy
Ta1 0.0000 0.0000 0.0000 1
Te1 0.6667 0.3333 0.2475 1
Br1 0.3333 0.6667 0.7634 1
# E above lowest polymorph, kJ/mol of formula units: 0
# Formation energy (no corrections), kJ/mol of formula units: -98
# Total magnetization, μB/f.u.: 0.00

No. 6
# TaCO2 | Alexandria | GGA-PBE | optimized geometry
data_TaCO2
_chemical_formula_sum 'Ta4 C4 O8'
_cell_length_a 6.129
_cell_length_b 6.129
_cell_length_c 8.682
_cell_angle_alpha 90.00
_cell_angle_beta 90.00
_cell_angle_gamma 90.00
_space_group_name_H-M_alt 'I -4 2 d'
_space_group_IT_number 122
_space_group_name_Hall 'I -4 2bw'
loop_
_atom_site_label
_atom_site_fract_x
_atom_site_fract_y
_atom_site_fract_z
_atom_site_occupancy
Ta1 0.000 0.000 0.000 1
C1 0.000 0.000 0.500 1
O1 0.001 0.250 0.125 1
# Formation energy (no corrections), kJ/mol of formula units: -31
# Total magnetization, μB/f.u.: 2.81